[1]
The following is a DFT calculation (PBE) of a relaxed structure of Mg3AgAs.

Summary:
DFT formation energy = 239.6 meV per atom
V = 126.5 Å³ per cell

Cell lengths 5.0202, 5.0202, 5.0202 Å; angles 90.00, 90.00, 90.00 degrees
Element x y z (fractional)
1 Mg 0.0000 0.0000 0.5000
2 Mg 0.0000 0.5000 0.0000
3 As 0.5000 0.5000 0.5000
4 Mg 0.5000 0.0000 0.0000
5 Ag 0.0000 0.0000 0.0000

[2]
The following is a DFT calculation (PBE) of a relaxed structure of MgAgAs.

Summary:
DFT formation energy = -200.3 meV per atom
V = 114.0 Å³ per cell

Cell lengths 4.8043, 4.8043, 5.7050 Å; angles 90.00, 90.00, 120.00 degrees
Element x y z (fractional)
1 Ag 0.0000 0.0000 0.0000
2 As 0.3333 0.6667 0.7500
3 As 0.6667 0.3333 0.2500
4 Ag 0.0000 0.0000 0.5000
5 Mg 0.3333 0.6667 0.2500
6 Mg 0.6667 0.3333 0.7500

[3]
The following is a DFT calculation (PBE) of a relaxed structure of MgAg2As2.

Summary:
DFT formation energy = 51.9 meV per atom
V = 103.5 Å³ per cell

Cell lengths 4.0296, 4.0296, 6.9845 Å; angles 73.23, 73.23, 90.00 degrees
Element x y z (fractional)
1 As 0.6016 0.6016 0.7967
2 Ag 0.2500 0.7500 0.5000
3 Mg 0.0000 0.0000 0.0000
4 As 0.3984 0.3984 0.2033
5 Ag 0.7500 0.2500 0.5000